1.
Compound: NaTl2
Source: the Alexandria database
Functional: GGA-PBE
Structure: relaxed

## Properties
DOS at the Fermi energy: 3.17 states/eV per cell
Energy of formation: -0.04 eV/atom
Energy above the most stable polymorph in this dataset: 6.57 kJ per mole of atoms
Final energy: -2.06 eV/atom

a b c (Å): 6.5037 6.5037 6.5037
angles (deg): 60.00 60.00 60.00
Last column: nearest neighbours and their distance in Å.
Positions (direct):
Tl (0.6250, 0.6250, 0.6250)  6 Tl 3.25
Tl (0.1250, 0.6250, 0.6250)  6 Tl 3.25
Tl (0.6250, 0.1250, 0.6250)  6 Tl 3.25
Tl (0.6250, 0.6250, 0.1250)  6 Tl 3.25
Na (0.0000, 0.0000, 0.0000)  12 Tl 3.81, 4 Na 3.98
Na (0.2500, 0.2500, 0.2500)  12 Tl 3.81, 4 Na 3.98



2.
Compound: V2TcMoAs
Source: the Alexandria database
Functional: GGA-PBE
Structure: relaxed

## Properties
DOS at the Fermi energy: 8.95 states/eV per cell
Energy of formation: 1.09 eV/atom
Final energy: -7.72 eV/atom

a b c (Å): 4.3881 4.5651 4.3881
angles (deg): 90.00 90.00 90.00
Last column: nearest neighbours and their distance in Å.
Positions (direct):
As (0.0000, 0.0000, 0.0000)  4 V 2.19, 2 Mo 2.28
V (0.0000, 0.0000, 0.5000)  2 As 2.19
V (0.5000, 0.0000, 0.0000)  2 As 2.19
Tc (0.5000, 0.5000, 0.5000)  4 Mo 3.10, 8 V 3.17
Mo (0.0000, 0.5000, 0.0000)  2 As 2.28